Entry 1:
VASP calculation (SCAN) on Y3ScTa at its PBEsol-relaxed geometry.

Summary:
Energy relative to the elements = 63.5 kJ/mol of atoms
SG = Pm-3m

Structure (POSCAR):
```
Y3ScTa
1.0
-1.6923 -2.2295 -4.5973
-1.0246 -4.5965 2.6063
-5.0056 1.6946 1.0208
Y Sc Ta
3 1 1
direct
0.0000 0.5000 0.0000
0.0000 0.0000 0.5000
0.5000 0.0000 0.0000
0.5000 0.5000 0.5000
0.0000 0.0000 0.0000
```

Entry 2:
VASP calculation (SCAN) on Y2ScTa at its PBEsol-relaxed geometry.

Summary:
Energy relative to the elements = 33.5 kJ/mol of atoms
Excess energy over the best structure of this formula in the dataset = 1.2 kJ/mol of atoms
SG = R3m

Structure (POSCAR):
```
Y2ScTa
1.0
-2.1058 -0.0458 -2.4344
-1.5751 -2.7149 -0.7148
-9.1678 1.8920 5.7665
Sc Ta Y
1 1 2
direct
0.5087 0.5087 0.4740
0.2472 0.2472 0.2585
0.9915 0.9915 0.0256
0.7527 0.7527 0.7419
```

Entry 3:
VASP calculation (SCAN) on ZrScTa2 at its PBEsol-relaxed geometry.

Summary:
Energy relative to the elements = 14.6 kJ/mol of atoms
Excess energy over the best structure of this formula in the dataset = 0.0 kJ/mol of atoms
SG = Pm

Structure (POSCAR):
```
ZrScTa2
1.0
2.9570 0.0000 -0.0300
0.0000 4.6597 0.0000
-1.2827 0.0000 5.7489
Sc Ta Zr
1 2 1
direct
0.5446 0.5000 0.7715
0.0813 0.0000 0.0074
0.4100 0.5000 0.2448
0.9641 0.0000 0.4763
```

Entry 4:
VASP calculation (SCAN) on ZrScTa2 at its PBEsol-relaxed geometry.

Summary:
Energy relative to the elements = 35.2 kJ/mol of atoms
Excess energy over the best structure of this formula in the dataset = 20.6 kJ/mol of atoms
SG = Fm-3m

Structure (POSCAR):
```
ZrScTa2
1.0
-3.9429 2.5435 -0.9683
-2.8155 -1.2494 -3.6694
-4.3275 -1.8793 0.8328
Sc Ta Zr
1 2 1
direct
0.0000 0.0000 0.0000
0.2500 0.2500 0.2500
0.7500 0.7500 0.7500
0.5000 0.5000 0.5000
```

Entry 5:
VASP calculation (SCAN) on ZrScTa2 at its PBEsol-relaxed geometry.

Summary:
Energy relative to the elements = 19.2 kJ/mol of atoms
Excess energy over the best structure of this formula in the dataset = 4.6 kJ/mol of atoms
SG = F-43m

Structure (POSCAR):
```
ZrScTa2
1.0
4.7819 0.0000 0.0000
2.3909 4.1412 0.0000
2.3909 1.3804 3.9044
Sc Ta Zr
1 2 1
direct
0.2500 0.2500 0.2500
0.0000 0.0000 0.0000
0.7500 0.7500 0.7500
0.5000 0.5000 0.5000
```

Entry 6:
VASP calculation (SCAN) on ZrScTa2 at its PBEsol-relaxed geometry.

Summary:
Energy relative to the elements = 21.0 kJ/mol of atoms
Excess energy over the best structure of this formula in the dataset = 6.5 kJ/mol of atoms
SG = Cmmm

Structure (POSCAR):
```
ZrScTa2
1.0
-0.6685 0.4643 -2.7763
2.3388 -1.7002 0.0978
-5.7378 -7.8893 0.0620
Sc Ta Zr
1 2 1
direct
0.5000 0.5000 0.0000
0.0000 0.0000 0.2529
0.0000 0.0000 0.7471
0.5000 0.5000 0.5000
```

no.,DFT total energy (eV/atom)
1,-32.211
2,-33.779
3,-44.374
4,-44.161
5,-44.327
6,-44.308